# LaB2ClO4

Crystalline LaB2ClO4 at its relaxed geometry (PBEsol, Alexandria).

abc: 4.2297 6.5818 8.0759
angles: 82.71 89.42 72.18
Space group P-1 (No. 2)
Unique sites:
La (0.2118, 0.0334, 0.2221)
B (0.1677, 0.3485, 0.8510)
B (0.4352, 0.4376, 0.1948)
Cl (0.1500, 0.2000, 0.5456)
O (0.0965, 0.4636, 0.1790)
O (0.1610, 0.1529, 0.9213)
O (0.3654, 0.7645, 0.7889)
O (0.4816, 0.3722, 0.8180)

## Properties
- Energy relative to the elements, uncorrected: -21.86 eV/f.u.
- Energy: -8.031 eV/atom